# 1
# Al4ZnAg6 (PBE-GGA, relaxed)
# **Mass density**: 6.765 g cm⁻³
# **Space group**: No. 121
data_Al4ZnAg6
_chemical_formula_sum 'Al4 Zn1 Ag6'
_symmetry_space_group_name_H-M 'P 1'
_symmetry_Int_Tables_number 1
_symmetry_space_group_name_Hall 'P 1'
_cell_length_a 8.0669
_cell_length_b 8.0669
_cell_length_c 8.0669
_cell_angle_alpha 55.49
_cell_angle_beta 141.56
_cell_angle_gamma 141.56
loop_
_atom_site_label
_atom_site_fract_x
_atom_site_fract_y
_atom_site_fract_z
_atom_site_occupancy
Al1 0.6029 0.9601 0.9601 1
Al2 0.0000 0.6428 0.0399 1
Al3 0.0000 0.0399 0.6428 1
Al4 0.3971 0.3572 0.3572 1
Zn1 0.0000 0.0000 0.0000 1
Ag1 0.0000 0.8464 0.4564 1
Ag2 0.5000 0.5000 0.0000 1
Ag3 0.3901 0.5436 0.5436 1
Ag4 0.6099 0.1536 0.1536 1
Ag5 0.0000 0.4564 0.8464 1
Ag6 0.5000 0.0000 0.5000 1

# 2
# CdCuPb4 (PBE-GGA, relaxed)
# **Mass density**: 8.861 g cm⁻³
# **Space group**: No. 216
data_CdCuPb4
_chemical_formula_sum 'Cd1 Cu1 Pb4'
_symmetry_space_group_name_H-M 'P 1'
_symmetry_Int_Tables_number 1
_symmetry_space_group_name_Hall 'P 1'
_cell_length_a 6.4335
_cell_length_b 6.4335
_cell_length_c 6.4335
_cell_angle_alpha 60.00
_cell_angle_beta 60.00
_cell_angle_gamma 60.00
loop_
_atom_site_label
_atom_site_fract_x
_atom_site_fract_y
_atom_site_fract_z
_atom_site_occupancy
Cd1 0.7500 0.7500 0.7500 1
Pb1 0.8756 0.3748 0.3748 1
Pb2 0.3748 0.8756 0.3748 1
Pb3 0.3748 0.3748 0.3748 1
Pb4 0.3748 0.3748 0.8756 1
Cu1 0.0000 0.0000 0.0000 1

# 3
# Ce2Sn4Pd3Pt (PBE-GGA, relaxed)
# **Mass density**: 9.291 g cm⁻³
# **Space group**: No. 115
data_Ce2Sn4Pd3Pt
_chemical_formula_sum 'Ce2 Sn4 Pd3 Pt1'
_symmetry_space_group_name_H-M 'P 1'
_symmetry_Int_Tables_number 1
_symmetry_space_group_name_Hall 'P 1'
_cell_length_a 4.6146
_cell_length_b 4.6146
_cell_length_c 10.6544
_cell_angle_alpha 90.00
_cell_angle_beta 90.00
_cell_angle_gamma 90.00
loop_
_atom_site_label
_atom_site_fract_x
_atom_site_fract_y
_atom_site_fract_z
_atom_site_occupancy
Sn1 0.0000 0.0000 0.0000 1
Sn2 0.5000 0.5000 0.0000 1
Sn3 0.5000 0.0000 0.6285 1
Sn4 0.0000 0.5000 0.3715 1
Ce1 0.5000 0.0000 0.2620 1
Ce2 0.0000 0.5000 0.7380 1
Pd1 0.0000 0.0000 0.5000 1
Pd2 0.5000 0.0000 0.8710 1
Pd3 0.0000 0.5000 0.1290 1
Pt1 0.5000 0.5000 0.5000 1

# 4
# MnReSb2 (PBE-GGA, relaxed)
# **Mass density**: 9.967 g cm⁻³
# **Space group**: No. 44
# **Formation energy from raw total energies**: 0.41 eV/atom
# **Polymorph energy (0 for the lowest one)**: 203.7 meV/atom
data_MnReSb2
_chemical_formula_sum 'Mn1 Re1 Sb2'
_symmetry_space_group_name_H-M 'P 1'
_symmetry_Int_Tables_number 1
_symmetry_space_group_name_Hall 'P 1'
_cell_length_a 6.7003
_cell_length_b 6.7003
_cell_length_c 6.7003
_cell_angle_alpha 152.49
_cell_angle_beta 144.34
_cell_angle_gamma 45.62
loop_
_atom_site_label
_atom_site_fract_x
_atom_site_fract_y
_atom_site_fract_z
_atom_site_occupancy
Mn1 0.4387 0.4387 0.0000 1
Re1 0.2261 0.7261 0.5000 1
Sb1 0.0450 0.0450 0.0000 1
Sb2 0.7902 0.2902 0.5000 1

One value per record, in order, for final energy: -32.293 -16.989 -56.793 -28.235 eV/cell.